(1)
5
Lattice="3.5948 0.0000 0.0000 0.0000 3.5948 0.0000 0.0000 0.0000 3.5948" Properties=species:S:1:pos:R:3 comment="TcC3F (PBE, relaxed)" e_above_lowest_polymorph_ev_per_atom=1.287 raw_formation_energy_ev_per_fu=14.67 vol_a3_per_atom=9.29 final_energy_ev_per_cell=-25.24 pbc="T T T"
Tc 1.7974 1.7974 1.7974
F 0.0000 0.0000 0.0000
C 0.0000 1.7974 0.0000
C 0.0000 0.0000 1.7974
C 1.7974 0.0000 0.0000

***

(2)
5
Lattice="6.9122 0.0000 0.0000 0.0000 6.9122 0.0000 0.0000 0.0000 6.9122" Properties=species:S:1:pos:R:3 comment="K3ZrN (PBE, relaxed)" e_above_lowest_polymorph_ev_per_atom=0.576 raw_formation_energy_ev_per_fu=9.42 vol_a3_per_atom=66.05 final_energy_ev_per_cell=-10.75 pbc="T T T"
K 0.0000 0.0000 3.4561
K 3.4561 0.0000 0.0000
K 0.0000 3.4561 0.0000
Zr 0.0000 0.0000 0.0000
N 3.4561 3.4561 3.4561